A plane-wave DFT calculation with PBE was carried out for a relaxed LaPrNdZn crystal.

Mass density ... 6.704 g cm⁻³
Energy relative to the elements ... 0.191 eV/f.u.
Relative energy among the computed polymorphs ... 0.1967 eV/atom
D(E_F) ... 5.8 states/eV per cell
Total magnetic moment ... 0.000 μB/atom

Cell and atoms, written as extended XYZ:
```
4
Lattice="5.556 0.000 0.000 2.778 4.811 0.000 2.778 1.604 4.536" Properties=species:S:1:pos:R:3 pbc="T T T"
Nd 5.556 3.207 2.268
Zn 0.000 0.000 0.000
Pr 8.333 4.811 3.402
La 2.778 1.604 1.134
```

=====

A plane-wave DFT calculation with PBE was carried out for a relaxed La5Nd2Pt5 crystal.

Mass density ... 9.215 g cm⁻³
Energy relative to the elements ... -11.999 eV/f.u.
D(E_F) ... 7.6 states/eV per cell
Total magnetic moment ... 0.000 μB/atom

Cell and atoms, written as extended XYZ:
```
12
Lattice="4.048 0.000 0.775 1.639 6.689 2.402 -0.391 0.163 13.008" Properties=species:S:1:pos:R:3 pbc="T T T"
La 4.182 5.960 11.043
La 1.804 1.735 1.537
La 2.648 3.426 8.092
La 3.492 5.116 14.648
La 1.114 0.891 5.142
Pt 0.000 0.000 0.000
Pt 4.739 5.487 8.131
Pt 1.854 3.994 12.240
Pt 0.557 1.364 8.053
Pt 3.442 2.857 3.944
Nd 1.232 4.721 4.527
Nd 4.064 2.130 11.658
```

=====

A plane-wave DFT calculation with PBE was carried out for a relaxed LaNd4Pt crystal.

Mass density ... 7.480 g cm⁻³
Energy relative to the elements ... -1.820 eV/f.u.
D(E_F) ... 14.6 states/eV per cell
Total magnetic moment ... 0.000 μB/atom

Cell and atoms, written as extended XYZ:
```
12
Lattice="6.741 -0.001 0.002 -0.001 7.249 0.218 -3.369 -2.811 8.192" Properties=species:S:1:pos:R:3 pbc="T T T"
La 0.093 1.810 0.055
La 3.279 2.627 8.356
Nd 4.040 3.447 1.732
Nd 0.722 3.414 3.160
Nd 2.650 1.023 5.251
Nd 0.667 4.614 6.785
Nd -0.668 0.990 6.679
Nd 4.092 4.648 5.356
Nd 2.705 -0.177 1.626
Nd -0.720 -0.211 3.055
Pt 1.686 -1.406 4.097
Pt -1.685 2.219 4.205
```